Entry from the Alexandria database: an optimized crystal structure of Na4Tl5Pb (PBE).

Computed properties:
Fermi-level density of states, states/eV per cell: 5.0
Total DFT energy (no corrections), eV per cell: -21.79
DFT formation energy, eV/atom: -0.098
ΔE to the lowest computed polymorph, kJ/mol of atoms: 0.0
Total moment, μB/atom: 0.000

Geometry as POSCAR:
```
Na4Tl5Pb
1.0
8.058 -2.752 0.000
8.058 2.752 0.000
-1.701 0.000 6.508
Na Tl Pb
4 5 1
Direct
0.097 0.097 0.387
0.302 0.302 0.197
0.698 0.698 0.803
0.903 0.903 0.613
0.104 0.104 0.896
0.298 0.298 0.691
0.500 0.500 0.500
0.702 0.702 0.309
0.896 0.896 0.104
0.500 0.500 0.000
```